(1)
# La2ZrHg | Alexandria via LeMat-Bulk | PBE | relaxed
data_La2ZrHg
_chemical_formula_sum 'La8 Zr4 Hg4'
_cell_length_a 8.669
_cell_length_b 8.669
_cell_length_c 6.336
_cell_angle_alpha 90.00
_cell_angle_beta 90.00
_cell_angle_gamma 90.00
_symmetry_space_group_name_H-M 'I -4 2 d'
_symmetry_Int_Tables_number 122
_symmetry_space_group_name_Hall 'I -4 2bw'
loop_
_atom_site_label
_atom_site_type_symbol
_atom_site_fract_x
_atom_site_fract_y
_atom_site_fract_z
La1 La 0.241 0.250 0.125
Zr1 Zr 0.000 0.000 0.500
Hg1 Hg 0.000 0.000 0.000
# Fermi-level density of states (states/eV/f.u.): 6.56
# ΔH_f (0 K) (eV per atom): 0.199
# Total energy (eV per atom): -4.48

(2)
# Er2ZnIn | Alexandria via LeMat-Bulk | PBE | relaxed
data_Er2ZnIn
_chemical_formula_sum 'Er8 Zn4 In4'
_cell_length_a 7.284
_cell_length_b 7.284
_cell_length_c 7.284
_cell_angle_alpha 90.00
_cell_angle_beta 90.00
_cell_angle_gamma 90.00
_symmetry_space_group_name_H-M 'F m -3 m'
_symmetry_Int_Tables_number 225
_symmetry_space_group_name_Hall '-F 4 2 3'
loop_
_atom_site_label
_atom_site_type_symbol
_atom_site_fract_x
_atom_site_fract_y
_atom_site_fract_z
Er1 Er 0.250 0.250 0.250
Zn1 Zn 0.000 0.000 0.000
In1 In 0.000 0.000 0.500
# Fermi-level density of states (states/eV/f.u.): 3.03
# ΔH_f (0 K) (eV per atom): -0.390
# Total energy (eV per atom): -3.67